1.
Computed, not measured: crystalline AsIBrO2 at its relaxed geometry at the PBE level of DFT.

Properties
For the energy above the most stable polymorph in this dataset, the calculation gives 16.406 kcal/mol of atoms. For the volume, the calculation gives 118.88 Å³/cell. For the uncorrected formation energy, the calculation gives 0.694 eV per atom.

a b c (Å): 3.962 3.962 7.574
angles (deg): 90.00 90.00 90.00
Fractional coordinates of all 5 atoms:
I  0.000  0.000  0.500
As  0.500  0.500  0.500
O  0.000  0.500  0.000
O  0.500  0.000  0.000
Br  0.000  0.000  0.000

2.
Computed, not measured: crystalline TlSi2AgHg at its relaxed geometry at the PBE level of DFT.

Properties
For the volume, the calculation gives 147.94 Å³/cell. For the uncorrected formation energy, the calculation gives 1.112 eV per atom.

a b c (Å): 5.267 5.332 5.267
angles (deg): 90.00 90.00 90.00
Fractional coordinates of all 5 atoms:
Tl  0.000  0.000  0.000
Si  0.000  0.000  0.500
Si  0.500  0.000  0.000
Hg  0.500  0.500  0.500
Ag  0.000  0.500  0.000

3.
Computed, not measured: crystalline LiZn2SnF8 at its relaxed geometry at the PBE level of DFT.

Properties
For the volume, the calculation gives 155.94 Å³/cell. For the uncorrected formation energy, the calculation gives -2.383 eV per atom.

a b c (Å): 4.918 4.896 6.476
angles (deg): 90.00 90.00 89.85
Fractional coordinates of all 12 atoms:
Li  0.000  0.000  0.000
Zn  0.500  0.500  0.769
Zn  0.500  0.500  0.231
Sn  0.000  0.000  0.500
F  0.201  0.797  0.248
F  0.696  0.699  0.000
F  0.799  0.203  0.248
F  0.799  0.203  0.752
F  0.304  0.301  0.000
F  0.201  0.797  0.752
F  0.685  0.687  0.500
F  0.315  0.313  0.500

4.
Computed, not measured: crystalline InSiBi2 at its relaxed geometry at the PBE level of DFT.

Properties
For the volume, the calculation gives 300.79 Å³/cell. For the uncorrected formation energy, the calculation gives 0.303 eV per atom.

a b c (Å): 6.725 6.725 8.176
angles (deg): 65.72 65.72 90.00
Fractional coordinates of all 8 atoms:
Si  0.500  0.500  0.000
Si  0.250  0.750  0.500
Bi  0.595  0.125  0.250
Bi  0.155  0.625  0.250
Bi  0.375  0.405  0.750
Bi  0.875  0.845  0.750
In  0.000  0.000  0.000
In  0.750  0.250  0.500

5.
Computed, not measured: crystalline Sm6Ir2I3Cl at its relaxed geometry at the PBE level of DFT.

Properties
For the volume, the calculation gives 375.94 Å³/cell. For the uncorrected formation energy, the calculation gives -1.038 eV per atom.

a b c (Å): 7.401 7.401 8.287
angles (deg): 98.55 98.55 119.86
Fractional coordinates of all 12 atoms:
Sm  0.937  0.571  0.812
Sm  0.697  0.697  0.186
Sm  0.063  0.429  0.188
Sm  0.571  0.937  0.812
Sm  0.303  0.303  0.814
Sm  0.429  0.063  0.188
Ir  0.333  0.667  0.000
Ir  0.667  0.333  0.000
I  0.162  0.838  0.500
I  0.838  0.162  0.500
I  0.500  0.500  0.500
Cl  0.000  0.000  0.000

6.
Computed, not measured: crystalline CdAgI at its relaxed geometry at the PBE level of DFT.

Properties
For the energy above the most stable polymorph in this dataset, the calculation gives 1.227 kcal/mol of atoms. For the volume, the calculation gives 352.51 Å³/cell. For the uncorrected formation energy, the calculation gives -0.100 eV per atom.

a b c (Å): 7.732 6.328 8.680
angles (deg): 90.00 123.91 90.00
Fractional coordinates of all 12 atoms:
I  0.159  0.844  0.331
I  0.841  0.844  0.669
I  0.159  0.344  0.831
I  0.841  0.344  0.169
Ag  0.710  0.795  0.104
Ag  0.290  0.795  0.896
Ag  0.710  0.295  0.604
Ag  0.290  0.295  0.396
Cd  0.500  0.568  0.267
Cd  0.500  0.568  0.733
Cd  0.500  0.068  0.767
Cd  0.500  0.068  0.233